1.
CaCdGe2Pd5: relaxed, PBE-GGA.

Cell: 4.5694 4.5694 7.8748 Å, 90.00 90.00 90.00°
With the nearest neighbours (Å) after each atom.
Fractional positions:
1 Pd 0.5000 0.5000 0.5000  2 Ge 2.72, 8 Pd 2.95
2 Pd 0.5000 0.0000 0.7380  2 Ge 2.44
3 Pd 0.5000 0.0000 0.2620  2 Ge 2.44
4 Pd 0.0000 0.5000 0.7380  2 Ge 2.44
5 Pd 0.0000 0.5000 0.2620  2 Ge 2.44
6 Cd 0.0000 0.0000 0.0000  8 Pd 3.08
7 Ge 0.5000 0.5000 0.8459  1 Ge 2.43, 4 Pd 2.44
8 Ge 0.5000 0.5000 0.1541  1 Ge 2.43, 4 Pd 2.44
9 Ca 0.0000 0.0000 0.5000  12 Pd 2.95-3.23

Summary:
Crystal system: tetragonal
Size of the total moment (μB per formula unit): 0.000
E (eV per formula unit): -42.150
ΔH_f (0 K) (kJ/mol of formula units): -389
Space-group type: P4/mmm, No. 123

---

2.
Ca2CdGe3Pd4: relaxed, PBE-GGA.

Cell: 4.2941 4.2941 10.8558 Å, 90.00 90.00 90.00°
With the nearest neighbours (Å) after each atom.
Fractional positions:
1 Cd 0.5000 0.5000 0.5000  4 Pd 2.70
2 Pd 0.5000 0.0000 0.6512  3 Ge 2.44-2.70, 2 Cd 2.70
3 Pd 0.5000 0.5000 0.0000  4 Ge 2.53
4 Pd 0.0000 0.5000 0.3488  3 Ge 2.44-2.70, 2 Cd 2.70
5 Pd 0.0000 0.0000 0.0000  4 Ge 2.53
6 Ge 0.0000 0.0000 0.5000  4 Pd 2.70
7 Ge 0.0000 0.5000 0.1238  5 Pd 2.44-2.53
8 Ge 0.5000 0.0000 0.8762  5 Pd 2.44-2.53
9 Ca 0.0000 0.5000 0.7574  8 Pd 3.25-3.40, 6 Ge 3.30-3.52, 2 Cd 3.52
10 Ca 0.5000 0.0000 0.2426  8 Pd 3.25-3.40, 6 Ge 3.30-3.52, 2 Cd 3.52

Summary:
Crystal system: tetragonal
Size of the total moment (μB per formula unit): 0.000
E (eV per formula unit): -45.976
ΔH_f (0 K) (kJ/mol of formula units): -621
Space-group type: P-4m2, No. 115

---

3.
CaCd2GePd4: relaxed, PBE-GGA.

Cell: 4.6901 4.6901 8.0199 Å, 73.00 73.00 60.00°
With the nearest neighbours (Å) after each atom.
Fractional positions:
1 Pd 0.8659 0.8659 0.4022  4 Cd 2.79-3.01, 3 Ge 2.81, 1 Ca 3.04, 3 Pd 3.08
2 Pd 0.6089 0.6089 0.1734  1 Ge 2.47, 3 Cd 2.74
3 Pd 0.1341 0.1341 0.5978  4 Cd 2.79-3.01, 3 Ge 2.81, 1 Ca 3.04, 3 Pd 3.08
4 Pd 0.3911 0.3911 0.8266  1 Ge 2.47, 3 Cd 2.74
5 Cd 0.7429 0.7429 0.7714  8 Pd 2.74-3.03
6 Cd 0.2571 0.2571 0.2286  8 Pd 2.74-3.03
7 Ge 0.5000 0.5000 0.5000  2 Pd 2.47
8 Ca 0.0000 0.0000 0.0000  8 Pd 3.01-3.04, 6 Cd 3.21

Summary:
Crystal system: trigonal
Size of the total moment (μB per formula unit): 0.000
E (eV per formula unit): -33.011
ΔH_f (0 K) (kJ/mol of formula units): -366
Space-group type: R-3m, No. 166

---

- Which value of size of the total moment does entry 2 give?
  0.000 μB per formula unit